Record 1
Entry from Alexandria: a crystal of YErCu2 relaxed with PBEsol (SCAN).

Cell: 4.8022 4.8022 4.8022 Å, 60.00 60.00 60.00°
Closest atoms and distances in Å follow each position.
Element x y z (fractional)
Y  0.0000  0.0000  0.0000  8 Cu 2.94
Er  0.5000  0.5000  0.5000  8 Cu 2.94
Cu  0.2500  0.2500  0.2500  4 Er 2.94, 4 Y 2.94
Cu  0.7500  0.7500  0.7500  4 Er 2.94, 4 Y 2.94

Energy of formation in eV/atom: -0.315
V in Å³/cell: 78.3
ρ in g cm⁻³: 8.127
SG: No. 225



Record 2
Entry from Alexandria: a crystal of EuCu5 relaxed with PBEsol (SCAN).

Cell: 5.0446 5.0446 4.0009 Å, 90.00 90.00 120.00°
Closest atoms and distances in Å follow each position.
Element x y z (fractional)
Eu  0.0000  0.0000  0.0000  18 Cu 2.91-3.22
Cu  0.0000  0.5000  0.5000  8 Cu 2.47-2.52
Cu  0.3333  0.6667  0.0000  6 Cu 2.47
Cu  0.5000  0.0000  0.5000  8 Cu 2.47-2.52
Cu  0.5000  0.5000  0.5000  8 Cu 2.47-2.52
Cu  0.6667  0.3333  0.0000  6 Cu 2.47

Energy of formation in eV/atom: -0.112
V in Å³/cell: 88.2
ρ in g cm⁻³: 8.845
SG: No. 191



Record 3
Entry from Alexandria: a crystal of EuCu relaxed with PBEsol (SCAN).

Cell: 7.6191 4.2394 5.7664 Å, 90.00 90.00 90.00°
Closest atoms and distances in Å follow each position.
Element x y z (fractional)
Eu  0.1779  0.2500  0.1232  7 Cu 3.00-3.18
Eu  0.3221  0.7500  0.6232  7 Cu 3.00-3.18
Eu  0.6779  0.2500  0.3768  7 Cu 3.00-3.18
Eu  0.8221  0.7500  0.8768  7 Cu 3.00-3.18
Cu  0.0315  0.2500  0.6060  2 Cu 2.49
Cu  0.4685  0.7500  0.1060  2 Cu 2.49
Cu  0.5315  0.2500  0.8940  2 Cu 2.49
Cu  0.9685  0.7500  0.3940  2 Cu 2.49

Energy of formation in eV/atom: -0.143
V in Å³/cell: 186.3
ρ in g cm⁻³: 7.685
SG: No. 62



Record 4
Entry from Alexandria: a crystal of EuCu relaxed with PBEsol (SCAN).

Cell: 3.5287 3.5287 3.5287 Å, 90.00 90.00 90.00°
Closest atoms and distances in Å follow each position.
Element x y z (fractional)
Eu  0.0000  0.0000  0.0000  8 Cu 3.06
Cu  0.5000  0.5000  0.5000  8 Eu 3.06

Energy of formation in eV/atom: -0.061
V in Å³/cell: 43.9
ρ in g cm⁻³: 8.145
SG: No. 221